Entry 1:
CuAg3 after structural relaxation. Source: OQMD, functional PBE-GGA.

Output
E_form	0.0599	eV/atom

a = 12.253 Å, b = 2.862 Å, c = 9.581 Å
α = 90.00°, β = 128.12°, γ = 90.00°
Space group C2/m (No. 12)
Asymmetric unit:
Cu (0.063, 0.000, 0.186) (multiplicity 4)
Ag (0.058, 0.500, 0.692) (multiplicity 4)
Ag (0.175, 0.500, 0.057) (multiplicity 4)
Ag (0.195, 0.000, 0.573) (multiplicity 4)

Entry 2:
NaCdInAg after structural relaxation. Source: OQMD, functional PBE-GGA.

a = 7.058 Å, b = 7.058 Å, c = 7.058 Å
α = 90.00°, β = 90.00°, γ = 90.00°
Space group F-43m (No. 216)
Asymmetric unit:
Na (0.000, 0.000, 0.000) (multiplicity 4)
Cd (0.250, 0.250, 0.750) (multiplicity 4)
In (0.250, 0.250, 0.250) (multiplicity 4)
Ag (0.000, 0.000, 0.500) (multiplicity 4)

Entry 3:
Lu2BPt after structural relaxation. Source: OQMD, functional PBE-GGA.

Output
spin magnetization	0.001	μB per atom

a = 6.485 Å, b = 6.485 Å, c = 6.485 Å
α = 90.00°, β = 90.00°, γ = 90.00°
Space group F-43m (No. 216)
Asymmetric unit:
Lu (0.000, 0.000, 0.000) (multiplicity 4)
Lu (0.250, 0.250, 0.250) (multiplicity 4)
B (0.000, 0.000, 0.500) (multiplicity 4)
Pt (0.250, 0.250, 0.750) (multiplicity 4)

Entry 4:
ScAl4Ir5 after structural relaxation. Source: OQMD, functional PBE-GGA.

Output
spin magnetization	0.001	μB per atom

a = 3.004 Å, b = 3.004 Å, c = 15.965 Å
α = 90.00°, β = 90.00°, γ = 90.00°
Space group P4/mmm (No. 123)
Asymmetric unit:
Sc (0.000, 0.000, 0.000) (multiplicity 1)
Al (0.000, 0.000, 0.210) (multiplicity 2)
Al (0.000, 0.000, 0.404) (multiplicity 2)
Ir (0.500, 0.500, 0.119) (multiplicity 2)
Ir (0.500, 0.500, 0.311) (multiplicity 2)
Ir (0.500, 0.500, 0.500) (multiplicity 1)

Entry 5:
Er2B6Os after structural relaxation. Source: OQMD, functional PBE-GGA.

Output
spin magnetization	0.000	μB per atom

a = 9.091 Å, b = 11.457 Å, c = 3.627 Å
α = 90.00°, β = 90.00°, γ = 90.00°
Space group Pbam (No. 55)
Asymmetric unit:
Er (0.056, 0.127, 0.000) (multiplicity 4)
Er (0.178, 0.414, 0.000) (multiplicity 4)
B (0.017, 0.287, 0.500) (multiplicity 4)
B (0.054, 0.567, 0.500) (multiplicity 4)
B (0.109, 0.970, 0.500) (multiplicity 4)
B (0.132, 0.815, 0.500) (multiplicity 4)
B (0.209, 0.234, 0.500) (multiplicity 4)
B (0.248, 0.580, 0.500) (multiplicity 4)
Os (0.138, 0.679, 0.000) (multiplicity 4)

Entry 6:
SrNiAg2 after structural relaxation. Source: OQMD, functional PBE-GGA.

Output
spin magnetization	0.000	μB per atom

a = 6.939 Å, b = 6.939 Å, c = 6.939 Å
α = 90.00°, β = 90.00°, γ = 90.00°
Space group F-43m (No. 216)
Asymmetric unit:
Sr (0.000, 0.000, 0.000) (multiplicity 4)
Ni (0.250, 0.250, 0.250) (multiplicity 4)
Ag (0.000, 0.000, 0.500) (multiplicity 4)
Ag (0.250, 0.250, 0.750) (multiplicity 4)

Number 1: energy -2.99 eV per atom. Number 2: energy -2.02 eV per atom. Number 3: energy -5.32 eV per atom. Number 4: energy -7.52 eV per atom. Number 5: energy -7.40 eV per atom. Number 6: energy -3.09 eV per atom.